## Mn3PtO (PBE+U)

Data for a relaxed structure of Mn3PtO.

It has space group Pm-3m (No. 221), with a = 4.248 Å, b = 4.248 Å, c = 4.248 Å, α = 90.00°, β = 90.00° and γ = 90.00°. The asymmetric unit holds Mn at (0.000, 0.000, 0.500), Pt at (0.500, 0.500, 0.500) and O at (0.000, 0.000, 0.000).

As for the energy above the most stable polymorph in this dataset: 0.000 eV per atom. The calculation puts the density at 8.143 g/cm³. The value obtained for the total energy is -7.217 eV per atom.